AcNbGe PBE relaxed; polymorph energy (0 for the lowest one) = 0.0 meV/atom; total magnetic moment = 4.28 μB per cell; symmetry = F-43m (216)
1.0
6.7667 0.0000 0.0000
0.0000 6.7667 0.0000
0.0000 0.0000 6.7667
Ac Nb Ge
4 4 4
Direct
0.0000 0.0000 0.0000
0.0000 0.5000 0.5000
0.5000 0.0000 0.5000
0.5000 0.5000 0.0000
0.2500 0.2500 0.2500
0.2500 0.7500 0.7500
0.7500 0.2500 0.7500
0.7500 0.7500 0.2500
0.0000 0.0000 0.5000
0.0000 0.5000 0.0000
0.5000 0.0000 0.0000
0.5000 0.5000 0.5000